# BaSiAs2 | Alexandria | meta-GGA SCAN | single point on PBEsol structure
data_BaSiAs2
_space_group_name_H-M_alt 'I -4 2 d'
_space_group_IT_number 122
_space_group_name_Hall 'I -4 2bw'
_cell_length_a 7.3511
_cell_length_b 7.3511
_cell_length_c 7.8436
_cell_angle_alpha 90.00
_cell_angle_beta 90.00
_cell_angle_gamma 90.00
loop_
_atom_site_label
_atom_site_fract_x
_atom_site_fract_y
_atom_site_fract_z
Ba1 0.0000 0.0000 0.0000
Si1 0.0000 0.0000 0.5000
As1 0.1536 0.7500 0.6250
# Formation energy (no corrections), eV/atom: -0.74
# Magnetization, μB/f.u.: 0.00